(1)
The following is a PBE calculation of a relaxed Er2In4Hg crystal, from the Alexandria database.

abc: 5.744 5.744 7.352
angles: 112.99 112.99 90.00
Atoms (fractional coordinates):
In: 0.250 0.750 0.500
In: 0.750 0.250 0.500
In: 0.500 0.000 0.000
In: 0.000 0.500 0.000
Hg: 0.000 0.000 0.000
Er: 0.358 0.358 0.717
Er: 0.642 0.642 0.283

Summary:
E (eV per atom): -2.980
Energy of formation from the pure elements (eV per atom): -0.07
Symmetry: I4/mmm

---

(2)
The following is a PBE calculation of a relaxed Er2InHg crystal, from the Alexandria database.

abc: 5.259 5.259 5.259
angles: 60.00 60.00 60.00
Atoms (fractional coordinates):
Hg: 0.250 0.250 0.250
In: 0.750 0.750 0.750
Er: 0.500 0.500 0.500
Er: 0.000 0.000 0.000

Summary:
E (eV per atom): -3.493
Energy of formation from the pure elements (eV per atom): -0.45
Symmetry: Fm-3m

---

(3)
The following is a PBE calculation of a relaxed ErInHg crystal, from the Alexandria database.

abc: 3.585 4.877 4.877
angles: 120.00 90.00 90.00
Atoms (fractional coordinates):
In: 0.125 0.000 0.000
Er: 0.657 0.667 0.333
Hg: 0.218 0.333 0.667

Summary:
E (eV per atom): -2.915
Energy of formation from the pure elements (eV per atom): -0.38
Symmetry: P3m1

---

(4)
The following is a PBE calculation of a relaxed ErInHg crystal, from the Alexandria database.

abc: 4.318 4.318 5.598
angles: 90.00 90.00 90.00
Atoms (fractional coordinates):
Hg: 0.500 0.500 0.500
Er: 0.000 0.000 0.000
In: 0.500 0.500 0.000

Summary:
E (eV per atom): -2.265
Energy of formation from the pure elements (eV per atom): 0.27
Symmetry: P4/mmm

---

(5)
The following is a PBE calculation of a relaxed Er4InHg3 crystal, from the Alexandria database.

abc: 3.688 3.688 14.908
angles: 90.00 90.00 90.00
Atoms (fractional coordinates):
Er: 0.000 0.000 0.376
Er: 0.000 0.000 0.624
Er: 0.000 0.000 0.870
Er: 0.000 0.000 0.130
In: 0.500 0.500 0.000
Hg: 0.500 0.500 0.253
Hg: 0.500 0.500 0.747
Hg: 0.500 0.500 0.500

Summary:
E (eV per atom): -3.208
Energy above the lowest structure with this stoichiometry (meV/atom): 0
Energy of formation from the pure elements (eV per atom): -0.47
Symmetry: P4/mmm

---

(6)
The following is a PBE calculation of a relaxed ErLuInHg crystal, from the Alexandria database.

abc: 5.232 5.232 5.232
angles: 60.00 60.00 60.00
Atoms (fractional coordinates):
Er: 0.750 0.750 0.750
Lu: 0.250 0.250 0.250
In: 0.000 0.000 0.000
Hg: 0.500 0.500 0.500

Summary:
E (eV per atom): -3.463
Energy of formation from the pure elements (eV per atom): -0.43
Symmetry: F-43m